# LiNbIN2 | the Alexandria database | PBE-GGA | optimized geometry
# - total moment (μB/f.u.) = 0.25
# - volume (A^3/atom) = 19.59
# - energy relative to the lowest polymorph listed for this composition (kcal/mol of atoms) = 0.00
# - D(E_F) (states/eV/f.u.) = 1.9
# - ΔE_f (raw) (eV/atom) = -0.0383
data_LiNbIN2
_space_group_name_H-M_alt 'P 4/m m m'
_space_group_IT_number 123
_space_group_name_Hall '-P 4 2'
_cell_length_a 4.048
_cell_length_b 4.048
_cell_length_c 5.979
_cell_angle_alpha 90.00
_cell_angle_beta 90.00
_cell_angle_gamma 90.00
loop_
_atom_site_label
_atom_site_type_symbol
_atom_site_fract_x
_atom_site_fract_y
_atom_site_fract_z
Li1 Li 0.000 0.000 0.000
Nb1 Nb 0.500 0.500 0.500
I1 I 0.500 0.500 0.000
N1 N 0.000 0.500 0.500

# Pa2NbSnN6 | the Alexandria database | PBE-GGA | optimized geometry
# - total moment (μB/f.u.) = 0.99
# - volume (A^3/atom) = 14.91
# - D(E_F) (states/eV/f.u.) = 5.6
# - ΔE_f (raw) (eV/atom) = -0.7583
data_Pa2NbSnN6
_space_group_name_H-M_alt 'P 4 m m'
_space_group_IT_number 99
_cell_length_a 5.376
_cell_length_b 5.376
_cell_length_c 5.157
_cell_angle_alpha 90.00
_cell_angle_beta 90.00
_cell_angle_gamma 90.00
loop_
_space_group_symop_operation_xyz
'x,y,z'
'-y,x,z'
'-x,-y,z'
'y,-x,z'
'-x,y,z'
'y,x,z'
'x,-y,z'
'-y,-x,z'
loop_
_atom_site_label
_atom_site_type_symbol
_atom_site_fract_x
_atom_site_fract_y
_atom_site_fract_z
Pa1 Pa 0.000 0.500 0.000
Nb1 Nb 0.000 0.000 0.592
Sn1 Sn 0.500 0.500 0.575
N1 N 0.000 0.000 0.221
N2 N 0.246 0.246 0.761
N3 N 0.500 0.500 0.184

# ThNb4Ge2 | the Alexandria database | PBE-GGA | optimized geometry
# - total moment (μB/f.u.) = 0.00
# - volume (A^3/atom) = 20.88
# - formation energy from the elements (eV per formula unit) = -0.9
# - D(E_F) (states/eV/f.u.) = 6.0
data_ThNb4Ge2
_space_group_name_H-M_alt 'C m m m'
_space_group_IT_number 65
_space_group_name_Hall '-C 2 2'
_cell_length_a 4.899
_cell_length_b 13.061
_cell_length_c 4.569
_cell_angle_alpha 90.00
_cell_angle_beta 90.00
_cell_angle_gamma 90.00
loop_
_atom_site_label
_atom_site_type_symbol
_atom_site_fract_x
_atom_site_fract_y
_atom_site_fract_z
Th1 Th 0.000 0.000 0.000
Nb1 Nb 0.000 0.178 0.500
Nb2 Nb 0.000 0.295 0.000
Ge1 Ge 0.000 0.400 0.500

# AcLa2Tb9 | the Alexandria database | PBE-GGA | optimized geometry
# - total moment (μB/f.u.) = 0.00
# - volume (A^3/atom) = 33.83
# - formation energy from the elements (eV per formula unit) = 0.4
# - D(E_F) (states/eV/f.u.) = 19.9
data_AcLa2Tb9
_space_group_name_H-M_alt 'P 4/m m m'
_space_group_IT_number 123
_space_group_name_Hall '-P 4 2'
_cell_length_a 5.133
_cell_length_b 5.133
_cell_length_c 15.404
_cell_angle_alpha 90.00
_cell_angle_beta 90.00
_cell_angle_gamma 90.00
loop_
_atom_site_label
_atom_site_type_symbol
_atom_site_fract_x
_atom_site_fract_y
_atom_site_fract_z
Ac1 Ac 0.000 0.000 0.000
La1 La 0.000 0.000 0.335
Tb1 Tb 0.000 0.500 0.170
Tb2 Tb 0.000 0.500 0.500
Tb3 Tb 0.500 0.500 0.000
Tb4 Tb 0.500 0.500 0.335

# Pm10Sm4Pu | the Alexandria database | PBE-GGA | optimized geometry
# - total moment (μB/f.u.) = 5.60
# - volume (A^3/atom) = 34.45
# - formation energy from the elements (eV per formula unit) = 5.2
# - D(E_F) (states/eV/f.u.) = 28.9
data_Pm10Sm4Pu
_space_group_name_H-M_alt 'I 4/m'
_space_group_IT_number 87
_space_group_name_Hall '-I 4'
_cell_length_a 9.883
_cell_length_b 9.883
_cell_length_c 10.580
_cell_angle_alpha 90.00
_cell_angle_beta 90.00
_cell_angle_gamma 90.00
loop_
_atom_site_label
_atom_site_type_symbol
_atom_site_fract_x
_atom_site_fract_y
_atom_site_fract_z
Pm1 Pm 0.000 0.500 0.250
Pm2 Pm 0.116 0.207 0.160
Sm1 Sm 0.056 0.322 0.500
Pu1 Pu 0.000 0.000 0.500

# CrBiP | the Alexandria database | PBE-GGA | optimized geometry
# - total moment (μB/f.u.) = 0.00
# - volume (A^3/atom) = 21.01
# - energy relative to the lowest polymorph listed for this composition (kcal/mol of atoms) = 2.33
# - formation energy from the elements (eV per formula unit) = 0.6
# - D(E_F) (states/eV/f.u.) = 2.9
data_CrBiP
_space_group_name_H-M_alt 'P 3 m 1'
_space_group_IT_number 156
_cell_length_a 3.4847
_cell_length_b 3.4847
_cell_length_c 5.9939
_cell_angle_alpha 90.00
_cell_angle_beta 90.00
_cell_angle_gamma 120.00
loop_
_space_group_symop_operation_xyz
'x,y,z'
'-y,x-y,z'
'-x+y,-x,z'
'-y,-x,z'
'-x+y,y,z'
'x,x-y,z'
loop_
_atom_site_label
_atom_site_type_symbol
_atom_site_fract_x
_atom_site_fract_y
_atom_site_fract_z
Cr1 Cr 0.0000 0.0000 0.0000
Bi1 Bi 0.6667 0.3333 0.3320
P1 P 0.6667 0.3333 0.8248

Q: Which of these has the highest D(E_F)?
A: Pm10Sm4Pu